Entry 1:
A geometry-optimized Be5HPd6 structure, computed with PBE.

Geometry as CIF:
```
data_Be5HPd6
_space_group_name_H-M_alt 'P 1'
_space_group_IT_number 1
_cell_length_a 3.9810
_cell_length_b 5.6334
_cell_length_c 6.2459
_cell_angle_alpha 89.98
_cell_angle_beta 108.45
_cell_angle_gamma 90.00
loop_
_space_group_symop_operation_xyz
'x,y,z'
loop_
_atom_site_label
_atom_site_type_symbol
_atom_site_fract_x
_atom_site_fract_y
_atom_site_fract_z
Pd1 Pd 0.1642 0.2485 0.3293
Be1 Be 0.6711 0.0001 0.3440
Pd2 Pd 0.1640 0.7517 0.3291
Be2 Be 0.6688 0.5000 0.3402
Be3 Be 0.3289 0.9999 0.6560
Be4 Be 0.0000 0.5000 0.0000
Pd3 Pd 0.4999 0.7536 0.9999
Pd4 Pd 0.8358 0.7515 0.6707
Pd5 Pd 0.8360 0.2483 0.6709
Be5 Be 0.3312 0.5000 0.6598
H1 H 0.0000 0.0000 0.0000
Pd6 Pd 0.5001 0.2464 0.0001
```

## Properties
* SG: P2/m, No. 10
* final energy: -4.850 eV/atom

=====

Entry 2:
A geometry-optimized Nd5Sm2Dy4 structure, computed with PBE.

Geometry as CIF:
```
data_Nd5Sm2Dy4
_space_group_name_H-M_alt 'P 1'
_space_group_IT_number 1
_cell_length_a 3.5454
_cell_length_b 9.2142
_cell_length_c 12.7942
_cell_angle_alpha 111.11
_cell_angle_beta 97.96
_cell_angle_gamma 90.00
loop_
_space_group_symop_operation_xyz
'x,y,z'
loop_
_atom_site_label
_atom_site_type_symbol
_atom_site_fract_x
_atom_site_fract_y
_atom_site_fract_z
Sm1 Sm 0.2689 0.2689 0.5378
Nd1 Nd 0.5000 0.0000 0.0000
Dy1 Dy 0.0000 0.6878 0.0000
Dy2 Dy 0.0000 0.3122 0.0000
Dy3 Dy 0.4035 0.4035 0.8070
Nd2 Nd 0.8548 0.6550 0.7096
Nd3 Nd 0.8548 0.0545 0.7096
Nd4 Nd 0.1452 0.3450 0.2904
Dy4 Dy 0.5965 0.5965 0.1930
Sm2 Sm 0.7311 0.7311 0.4622
Nd5 Nd 0.1452 0.9455 0.2904
```

## Properties
* SG: Immm, No. 71
* formation enthalpy at 0 K: 0.19 eV per atom
* distance to the lowest polymorph of the same formula: 115 meV/atom
* final energy: -4.512 eV/atom

=====

Entry 3:
A geometry-optimized PbW2Au structure, computed with PBE.

Geometry as CIF:
```
data_PbW2Au
_space_group_name_H-M_alt 'P 1'
_space_group_IT_number 1
_cell_length_a 5.3225
_cell_length_b 5.3225
_cell_length_c 2.8935
_cell_angle_alpha 90.00
_cell_angle_beta 90.00
_cell_angle_gamma 116.01
loop_
_space_group_symop_operation_xyz
'x,y,z'
loop_
_atom_site_label
_atom_site_type_symbol
_atom_site_fract_x
_atom_site_fract_y
_atom_site_fract_z
W1 W 0.5000 0.5000 0.0000
W2 W 0.0000 0.0000 0.0000
Au1 Au 0.5000 0.0000 0.5000
Pb1 Pb 0.0000 0.5000 0.5000
```

## Properties
* SG: Cmmm, No. 65
* formation enthalpy at 0 K: 0.95 eV per atom
* final energy: -7.275 eV/atom

=====

Entry 4:
A geometry-optimized Sm6Hg3N structure, computed with PBE.

Geometry as CIF:
```
data_Sm6Hg3N
_space_group_name_H-M_alt 'P 1'
_space_group_IT_number 1
_cell_length_a 5.2683
_cell_length_b 10.4080
_cell_length_c 11.3342
_cell_angle_alpha 118.82
_cell_angle_beta 90.00
_cell_angle_gamma 90.00
loop_
_space_group_symop_operation_xyz
'x,y,z'
loop_
_atom_site_label
_atom_site_type_symbol
_atom_site_fract_x
_atom_site_fract_y
_atom_site_fract_z
Sm1 Sm 0.7500 0.5688 0.9287
Sm2 Sm 0.2500 0.8137 0.3841
N1 N 0.2500 0.8125 0.5867
Hg1 Hg 0.7500 0.5079 0.6264
Hg2 Hg 0.7500 0.2476 0.9501
Hg3 Hg 0.7500 0.6117 0.2331
Hg4 Hg 0.2500 0.4921 0.3736
Sm3 Sm 0.2500 0.4312 0.0713
Sm4 Sm 0.7500 0.9365 0.9168
Sm5 Sm 0.2500 0.6874 0.7158
Sm6 Sm 0.7500 0.7732 0.5588
Sm7 Sm 0.7500 0.3126 0.2842
Sm8 Sm 0.2500 0.2268 0.4412
Sm9 Sm 0.2500 0.0635 0.0832
Hg5 Hg 0.2500 0.3883 0.7669
Sm10 Sm 0.7500 0.9496 0.2482
Hg6 Hg 0.2500 0.7524 0.0499
Sm11 Sm 0.2500 0.0504 0.7518
N2 N 0.7500 0.1875 0.4133
Sm12 Sm 0.7500 0.1863 0.6159
```

## Properties
* SG: P2_1/m, No. 11
* distance to the lowest polymorph of the same formula: 28 meV/atom
* final energy: -4.244 eV/atom
* E_form (uncorrected): -0.49 eV/atom

=====

Entry 5:
A geometry-optimized K2LiPuF6 structure, computed with PBE.

Geometry as CIF:
```
data_K2LiPuF6
_space_group_name_H-M_alt 'P 1'
_space_group_IT_number 1
_cell_length_a 6.1106
_cell_length_b 6.1713
_cell_length_c 8.6995
_cell_angle_alpha 90.00
_cell_angle_beta 91.11
_cell_angle_gamma 90.00
loop_
_space_group_symop_operation_xyz
'x,y,z'
loop_
_atom_site_label
_atom_site_type_symbol
_atom_site_fract_x
_atom_site_fract_y
_atom_site_fract_z
F1 F 0.4305 0.9773 0.7409
F2 F 0.7915 0.7746 0.9586
K1 K 0.4886 0.4678 0.2511
Li1 Li 0.0000 0.5000 0.0000
Pu1 Pu 0.5000 0.0000 0.0000
F3 F 0.7750 0.7893 0.5358
F4 F 0.2750 0.7107 0.0358
Pu2 Pu 0.0000 0.5000 0.5000
F5 F 0.7085 0.2746 0.5414
K2 K 0.0114 0.9678 0.2489
K3 K 0.9886 0.0322 0.7511
K4 K 0.5114 0.5322 0.7489
F6 F 0.2085 0.2254 0.0414
F7 F 0.0695 0.4773 0.7591
F8 F 0.9305 0.5227 0.2409
F9 F 0.5695 0.0227 0.2591
F10 F 0.7250 0.2893 0.9642
Li2 Li 0.5000 0.0000 0.5000
F11 F 0.2250 0.2107 0.4642
F12 F 0.2915 0.7254 0.4586
```

## Properties
* SG: P2_1/c, No. 14
* final energy: -6.077 eV/atom
* E_form (uncorrected): -3.11 eV/atom

=====

Entry 6:
A geometry-optimized Ta2TlZn structure, computed with PBE.

Geometry as CIF:
```
data_Ta2TlZn
_space_group_name_H-M_alt 'P 1'
_space_group_IT_number 1
_cell_length_a 3.4550
_cell_length_b 3.4550
_cell_length_c 6.1944
_cell_angle_alpha 90.00
_cell_angle_beta 90.00
_cell_angle_gamma 90.00
loop_
_space_group_symop_operation_xyz
'x,y,z'
loop_
_atom_site_label
_atom_site_type_symbol
_atom_site_fract_x
_atom_site_fract_y
_atom_site_fract_z
Ta1 Ta 0.0000 0.0000 0.5355
Zn1 Zn 0.5000 0.5000 0.7500
Ta2 Ta 0.0000 0.0000 0.9645
Tl1 Tl 0.5000 0.5000 0.2500
```

## Properties
* SG: P4/mmm, No. 123
* formation enthalpy at 0 K: 0.51 eV per atom
* final energy: -6.325 eV/atom

=====

Entry 7:
A geometry-optimized CsPbSN2 structure, computed with PBE.

Geometry as CIF:
```
data_CsPbSN2
_space_group_name_H-M_alt 'P 1'
_space_group_IT_number 1
_cell_length_a 4.8127
_cell_length_b 4.8127
_cell_length_c 5.3720
_cell_angle_alpha 90.00
_cell_angle_beta 90.00
_cell_angle_gamma 90.00
loop_
_space_group_symop_operation_xyz
'x,y,z'
loop_
_atom_site_label
_atom_site_type_symbol
_atom_site_fract_x
_atom_site_fract_y
_atom_site_fract_z
Pb1 Pb 0.0000 0.0000 0.0000
N1 N 0.5000 0.0000 0.0000
S1 S 0.0000 0.0000 0.5000
N2 N 0.0000 0.5000 0.0000
Cs1 Cs 0.5000 0.5000 0.5000
```

## Properties
* SG: P4/mmm, No. 123
* distance to the lowest polymorph of the same formula: 0 meV/atom
* final energy: -3.998 eV/atom
* E_form (uncorrected): 1.07 eV/atom

=====

Entry 8:
A geometry-optimized SrNiMo2 structure, computed with PBE.

Geometry as CIF:
```
data_SrNiMo2
_space_group_name_H-M_alt 'P 1'
_space_group_IT_number 1
_cell_length_a 3.2360
_cell_length_b 3.2453
_cell_length_c 8.0099
_cell_angle_alpha 69.32
_cell_angle_beta 90.00
_cell_angle_gamma 90.00
loop_
_space_group_symop_operation_xyz
'x,y,z'
loop_
_atom_site_label
_atom_site_type_symbol
_atom_site_fract_x
_atom_site_fract_y
_atom_site_fract_z
Mo1 Mo 0.5000 0.2005 0.2549
Sr1 Sr 0.5000 0.7922 0.7331
Ni1 Ni 0.0000 0.5527 0.4361
Mo2 Mo 0.0000 0.9547 0.0759
```

## Properties
* SG: Pm, No. 6
* formation enthalpy at 0 K: 0.45 eV per atom
* distance to the lowest polymorph of the same formula: 0 meV/atom
* final energy: -6.830 eV/atom

=====

Entry 9:
A geometry-optimized CoIr2Rh structure, computed with PBE.

Geometry as CIF:
```
data_CoIr2Rh
_space_group_name_H-M_alt 'P 1'
_space_group_IT_number 1
_cell_length_a 2.7136
_cell_length_b 5.0756
_cell_length_c 8.2210
_cell_angle_alpha 90.00
_cell_angle_beta 90.00
_cell_angle_gamma 105.51
loop_
_space_group_symop_operation_xyz
'x,y,z'
loop_
_atom_site_label
_atom_site_type_symbol
_atom_site_fract_x
_atom_site_fract_y
_atom_site_fract_z
Rh1 Rh 0.0234 0.0469 0.7500
Ir1 Ir 0.3670 0.7341 0.9775
Rh2 Rh 0.9766 0.9531 0.2500
Ir2 Ir 0.6330 0.2659 0.4775
Ir3 Ir 0.3670 0.7341 0.5225
Ir4 Ir 0.6330 0.2659 0.0225
Co1 Co 0.7560 0.5120 0.7500
Co2 Co 0.2440 0.4880 0.2500
```

## Properties
* SG: Cmcm, No. 63
* formation enthalpy at 0 K: 0.04 eV per atom
* distance to the lowest polymorph of the same formula: 26 meV/atom
* final energy: -8.009 eV/atom

=====

Entry 10:
A geometry-optimized DyHoCoPd structure, computed with PBE.

Geometry as CIF:
```
data_DyHoCoPd
_space_group_name_H-M_alt 'P 1'
_space_group_IT_number 1
_cell_length_a 4.8360
_cell_length_b 4.8360
_cell_length_c 4.8360
_cell_angle_alpha 60.00
_cell_angle_beta 60.00
_cell_angle_gamma 60.00
loop_
_space_group_symop_operation_xyz
'x,y,z'
loop_
_atom_site_label
_atom_site_type_symbol
_atom_site_fract_x
_atom_site_fract_y
_atom_site_fract_z
Co1 Co 0.5000 0.5000 0.5000
Pd1 Pd 0.0000 0.0000 0.0000
Ho1 Ho 0.2500 0.2500 0.2500
Dy1 Dy 0.7500 0.7500 0.7500
```

## Properties
* SG: F-43m, No. 216
* formation enthalpy at 0 K: -0.50 eV per atom
* distance to the lowest polymorph of the same formula: 40 meV/atom
* final energy: -5.871 eV/atom

=====

Entry 11:
A geometry-optimized Rb2TlCu2I6 structure, computed with PBE.

Geometry as CIF:
```
data_Rb2TlCu2I6
_space_group_name_H-M_alt 'P 1'
_space_group_IT_number 1
_cell_length_a 7.8765
_cell_length_b 8.2170
_cell_length_c 9.9552
_cell_angle_alpha 112.70
_cell_angle_beta 90.00
_cell_angle_gamma 118.64
loop_
_space_group_symop_operation_xyz
'x,y,z'
loop_
_atom_site_label
_atom_site_type_symbol
_atom_site_fract_x
_atom_site_fract_y
_atom_site_fract_z
Rb1 Rb 0.7010 0.4020 0.2066
Tl1 Tl 0.5000 0.0000 0.5000
I1 I 0.1857 0.8556 0.1708
Cu1 Cu 0.9577 0.9154 0.7573
I2 I 0.7657 0.5314 0.6146
I3 I 0.2343 0.4686 0.3854
Rb2 Rb 0.2990 0.5980 0.7934
Cu2 Cu 0.0423 0.0846 0.2427
I4 I 0.6699 0.8556 0.1708
I5 I 0.3301 0.1444 0.8292
I6 I 0.8143 0.1444 0.8292
```

## Properties
* SG: C2/m, No. 12
* final energy: -2.673 eV/atom
* E_form (uncorrected): -0.69 eV/atom

=====

Entry 12:
A geometry-optimized BaZr2Mo structure, computed with PBE.

Geometry as CIF:
```
data_BaZr2Mo
_space_group_name_H-M_alt 'P 1'
_space_group_IT_number 1
_cell_length_a 4.5471
_cell_length_b 4.5471
_cell_length_c 8.1180
_cell_angle_alpha 86.38
_cell_angle_beta 86.38
_cell_angle_gamma 42.43
loop_
_space_group_symop_operation_xyz
'x,y,z'
loop_
_atom_site_label
_atom_site_type_symbol
_atom_site_fract_x
_atom_site_fract_y
_atom_site_fract_z
Ba1 Ba 0.2500 0.2500 0.2500
Mo1 Mo 0.7500 0.7500 0.7500
Zr1 Zr 0.0173 0.0173 0.9104
Zr2 Zr 0.4827 0.4827 0.5896
```

## Properties
* SG: C2/m, No. 12
* formation enthalpy at 0 K: 0.47 eV per atom
* distance to the lowest polymorph of the same formula: 219 meV/atom
* final energy: -6.991 eV/atom